Entry 1:
Below is a relaxed structure of GaCo2Pd2, with properties calculated at the PBE-GGA level.

Cell and atoms, written as CIF:
```
data_GaCo2Pd2
_space_group_name_H-M_alt 'P 4/m b m'
_space_group_IT_number 127
_space_group_name_Hall '-P 4 2ab'
_cell_length_a 6.0628
_cell_length_b 6.0628
_cell_length_c 3.8517
_cell_angle_alpha 90.00
_cell_angle_beta 90.00
_cell_angle_gamma 90.00
loop_
_atom_site_label
_atom_site_fract_x
_atom_site_fract_y
_atom_site_fract_z
_atom_site_occupancy
Ga1 0.0000 0.0000 0.0000 1
Co1 0.1292 0.3708 0.0000 1
Pd1 0.1654 0.6654 0.5000 1
```

Calculated values
The formation energy is 0.0229 eV/atom.



Entry 2:
Below is a relaxed structure of Mn2IrSe, with properties calculated at the PBE-GGA level.

Cell and atoms, written as CIF:
```
data_Mn2IrSe
_space_group_name_H-M_alt 'I 4/m m m'
_space_group_IT_number 139
_space_group_name_Hall '-I 4 2'
_cell_length_a 4.0109
_cell_length_b 4.0109
_cell_length_c 7.5505
_cell_angle_alpha 90.00
_cell_angle_beta 90.00
_cell_angle_gamma 90.00
loop_
_atom_site_label
_atom_site_fract_x
_atom_site_fract_y
_atom_site_fract_z
_atom_site_occupancy
Mn1 0.0000 0.5000 0.2500 1
Ir1 0.0000 0.0000 0.0000 1
Se1 0.0000 0.0000 0.5000 1
```

Calculated values
For the uncorrected formation energy, the calculation gives 0.88 eV/f.u.